# Li2VPbF8 PBE+U relaxed
# total DFT energy (no corrections)	-5.19	eV per atom
# magnetization	0.99	μB per cell
data_Li2VPbF8
_chemical_formula_sum 'Li2 V1 Pb1 F8'
_cell_length_a 4.837
_cell_length_b 4.860
_cell_length_c 7.195
_cell_angle_alpha 89.03
_cell_angle_beta 89.05
_cell_angle_gamma 80.42
_space_group_name_H-M_alt 'P -1'
_space_group_IT_number 2
loop_
_space_group_symop_operation_xyz
'x,y,z'
'-x,-y,-z'
loop_
_atom_site_label
_atom_site_type_symbol
_atom_site_fract_x
_atom_site_fract_y
_atom_site_fract_z
Li1 Li 0.005 0.005 0.296
V1 V 0.500 0.500 0.000
Pb1 Pb 0.500 0.500 0.500
F1 F 0.172 0.176 0.500
F2 F 0.255 0.259 0.007
F3 F 0.289 0.713 0.196
F4 F 0.289 0.713 0.803